No. 1
# Hf3NbGe4 (GGA-PBE, relaxed)
# * formation energy from the elements: -125 meV per atom
# * symmetry: Pmmn
data_Hf3NbGe4
_chemical_formula_sum 'Hf6 Nb2 Ge8'
_cell_length_a 5.282
_cell_length_b 8.057
_cell_length_c 9.070
_cell_angle_alpha 90.00
_cell_angle_beta 90.00
_cell_angle_gamma 90.00
_space_group_name_H-M_alt 'P 1'
_space_group_IT_number 1
loop_
_space_group_symop_operation_xyz
'x,y,z'
loop_
_atom_site_label
_atom_site_type_symbol
_atom_site_fract_x
_atom_site_fract_y
_atom_site_fract_z
Hf1 Hf 0.564 0.833 0.000
Hf2 Hf 0.064 0.666 0.252
Hf3 Hf 0.564 0.334 0.248
Hf4 Hf 0.064 0.167 0.500
Hf5 Hf 0.564 0.334 0.752
Hf6 Hf 0.064 0.666 0.748
Nb1 Nb 0.064 0.163 0.000
Nb2 Nb 0.564 0.837 0.500
Ge1 Ge 0.064 0.840 0.000
Ge2 Ge 0.564 0.161 0.000
Ge3 Ge 0.064 0.333 0.243
Ge4 Ge 0.564 0.667 0.257
Ge5 Ge 0.064 0.839 0.500
Ge6 Ge 0.564 0.160 0.500
Ge7 Ge 0.564 0.667 0.743
Ge8 Ge 0.064 0.333 0.757

***

No. 2
# HfNb2Ge (GGA-PBE, relaxed)
# * formation energy from the elements: 230 meV per atom
# * symmetry: I-42d
data_HfNb2Ge
_chemical_formula_sum 'Hf2 Nb4 Ge2'
_cell_length_a 7.741
_cell_length_b 7.741
_cell_length_c 6.089
_cell_angle_alpha 50.53
_cell_angle_beta 50.53
_cell_angle_gamma 90.00
_space_group_name_H-M_alt 'P 1'
_space_group_IT_number 1
loop_
_space_group_symop_operation_xyz
'x,y,z'
loop_
_atom_site_label
_atom_site_type_symbol
_atom_site_fract_x
_atom_site_fract_y
_atom_site_fract_z
Nb1 Nb 0.581 0.125 0.250
Nb2 Nb 0.169 0.625 0.250
Nb3 Nb 0.375 0.419 0.750
Nb4 Nb 0.875 0.831 0.750
Hf1 Hf 0.000 0.000 0.000
Hf2 Hf 0.750 0.250 0.500
Ge1 Ge 0.500 0.500 0.000
Ge2 Ge 0.250 0.750 0.500

***

No. 3
# HfNbGe2 (GGA-PBE, relaxed)
# * relative energy among the computed polymorphs: 0.147 eV/atom
# * formation energy from the elements: -214 meV per atom
# * symmetry: Fm-3m
data_HfNbGe2
_chemical_formula_sum 'Hf1 Nb1 Ge2'
_cell_length_a 4.642
_cell_length_b 4.642
_cell_length_c 4.642
_cell_angle_alpha 60.00
_cell_angle_beta 60.00
_cell_angle_gamma 60.00
_space_group_name_H-M_alt 'P 1'
_space_group_IT_number 1
loop_
_space_group_symop_operation_xyz
'x,y,z'
loop_
_atom_site_label
_atom_site_type_symbol
_atom_site_fract_x
_atom_site_fract_y
_atom_site_fract_z
Nb1 Nb 0.000 0.000 0.000
Hf1 Hf 0.500 0.500 0.500
Ge1 Ge 0.250 0.250 0.250
Ge2 Ge 0.750 0.750 0.750

***

Let's list volume in order: 386; 160; 71 Å³ per cell.